[1]
Crystalline NpZn at its relaxed geometry. Source: OQMD, functional PBE.

a b c (Å): 4.1626 4.1626 4.1626
angles (deg): 60.00 60.00 60.00
Atoms (fractional coordinates):
Zn (0.5000, 0.5000, 0.5000)
Np (0.0000, 0.0000, 0.0000)

Output
Crystal system: cubic
Calculated density: 9.8 Mg/m³
Formation enthalpy at 0 K: 0.755 eV per atom

[2]
Crystalline TbHoPbN at its relaxed geometry. Source: OQMD, functional PBE.

a b c (Å): 3.5469 3.5469 15.6240
angles (deg): 90.00 90.00 120.00
Atoms (fractional coordinates):
Ho (0.6667, 0.3333, 0.5825)
Ho (0.3333, 0.6667, 0.4175)
Pb (0.3333, 0.6667, 0.7483)
Pb (0.6667, 0.3333, 0.2517)
Tb (0.6667, 0.3333, 0.9159)
Tb (0.3333, 0.6667, 0.0841)
N (0.0000, 0.0000, 0.5000)
N (0.0000, 0.0000, 0.0000)

Output
Crystal system: trigonal
Calculated density: 10.6 Mg/m³
Energy: -6.4080 eV/atom